Record 1
## Er3Co11B4 (SCAN)

Data for a PBEsol-optimized structure of Er3Co11B4.

Calculated values
The value obtained for the density of states at the Fermi level is 12.5 states/eV/cell. Its crystal system is hexagonal. The calculation puts the formation energy at -576 kJ/mol of formula units.

Lattice parameters (Å, degrees): 4.9107 4.9107 9.6548 90.00 90.00 120.00
Space group P6/mmm (No. 191)
Asymmetric unit:
Er 0.0000 0.0000 0.0000 [1 per cell]
Er 0.0000 0.0000 0.3415 [2 per cell]
Co 0.0000 0.5000 0.2002 [6 per cell]
Co 0.0000 0.5000 0.5000 [3 per cell]
Co 0.3333 0.6667 0.0000 [2 per cell]
B 0.3333 0.6667 0.3489 [4 per cell]

Record 2
## ErCoB4 (SCAN)

Data for a PBEsol-optimized structure of ErCoB4.

Calculated values
The value obtained for the density of states at the Fermi level is 7.4 states/eV/cell. Its crystal system is orthorhombic. The calculation puts the formation energy at -374 kJ/mol of formula units.

Lattice parameters (Å, degrees): 5.834 11.300 3.302 90.00 90.00 90.00
Space group Pbam (No. 55)
Asymmetric unit:
Er 0.128 0.150 0.000 [4 per cell]
Co 0.134 0.411 0.000 [4 per cell]
B 0.023 0.691 0.500 [4 per cell]
B 0.112 0.546 0.500 [4 per cell]
B 0.138 0.967 0.500 [4 per cell]
B 0.216 0.815 0.500 [4 per cell]

Record 3
## ErCo4B (SCAN)

Data for a PBEsol-optimized structure of ErCo4B.

Calculated values
The value obtained for the density of states at the Fermi level is 10.4 states/eV/cell. Its crystal system is hexagonal. The calculation puts the formation energy at -144 kJ/mol of formula units.

Lattice parameters (Å, degrees): 4.8909 4.8909 6.7504 90.00 90.00 120.00
Space group P6/mmm (No. 191)
Asymmetric unit:
Er 0.0000 0.0000 0.0000 [1 per cell]
Er 0.0000 0.0000 0.5000 [1 per cell]
Co 0.0000 0.5000 0.2142 [6 per cell]
Co 0.3333 0.6667 0.5000 [2 per cell]
B 0.3333 0.6667 0.0000 [2 per cell]

Record 4
## ErCo2B4Rh2 (SCAN)

Data for a PBEsol-optimized structure of ErCo2B4Rh2.

Calculated values
The value obtained for the density of states at the Fermi level is 9.8 states/eV/cell. Its crystal system is tetragonal. The calculation puts the formation energy at -455 kJ/mol of formula units.

Lattice parameters (Å, degrees): 5.138 5.138 7.096 90.00 90.00 90.00
Space group P4_2mc (No. 105)
Asymmetric unit:
Er 0.000 0.500 0.000 [2 per cell]
Co 0.000 0.251 0.351 [4 per cell]
B 0.000 0.166 0.648 [4 per cell]
B 0.315 0.500 0.336 [4 per cell]
Rh 0.247 0.500 0.633 [4 per cell]

Record 5
## CoB3F (SCAN)

Data for a PBEsol-optimized structure of CoB3F.

Calculated values
The value obtained for the density of states at the Fermi level is 2.4 states/eV/cell. Its crystal system is cubic. Its uncorrected formation energy is 9.727 eV/f.u.

Lattice parameters (Å, degrees): 3.467 3.467 3.467 90.00 90.00 90.00
Space group Pm-3m (No. 221)
Asymmetric unit:
Co 0.000 0.000 0.000 [1 per cell]
B 0.000 0.500 0.500 [3 per cell]
F 0.500 0.500 0.500 [1 per cell]

Record 6
## CoBO2F (SCAN)

Data for a PBEsol-optimized structure of CoBO2F.

Calculated values
The value obtained for the density of states at the Fermi level is 1.5 states/eV/cell. Its crystal system is tetragonal. Its uncorrected formation energy is -0.244 eV/f.u.

Lattice parameters (Å, degrees): 3.589 3.589 3.971 90.00 90.00 90.00
Space group P4/mmm (No. 123)
Asymmetric unit:
Co 0.000 0.000 0.000 [1 per cell]
B 0.500 0.500 0.500 [1 per cell]
O 0.000 0.500 0.000 [2 per cell]
F 0.000 0.000 0.500 [1 per cell]

Record 7
## CoBO2F (SCAN)

Data for a PBEsol-optimized structure of CoBO2F.

Calculated values
Its crystal system is tetragonal. Its uncorrected formation energy is -5.104 eV/f.u.

Lattice parameters (Å, degrees): 3.424 3.424 3.178 90.00 90.00 90.00
Space group P4/mmm (No. 123)
Asymmetric unit:
Co 0.000 0.000 0.000 [1 per cell]
B 0.500 0.500 0.500 [1 per cell]
O 0.000 0.500 0.500 [2 per cell]
F 0.500 0.500 0.000 [1 per cell]

Record 8
## Zn2CoBF (SCAN)

Data for a PBEsol-optimized structure of Zn2CoBF.

Calculated values
The value obtained for the density of states at the Fermi level is 1.5 states/eV/cell. Its crystal system is tetragonal. Its uncorrected formation energy is -0.666 eV/f.u.

Lattice parameters (Å, degrees): 4.073 4.073 3.834 90.00 90.00 90.00
Space group P4/mmm (No. 123)
Asymmetric unit:
Zn 0.000 0.500 0.000 [2 per cell]
Co 0.000 0.000 0.500 [1 per cell]
B 0.000 0.000 0.000 [1 per cell]
F 0.500 0.500 0.500 [1 per cell]

Final energy for every record listed, in sequence, given in eV/atom: -20.947 -16.874 -21.413 -20.769 -6.681 -8.196 -9.168 -11.194.